# PuUMoIr

A relaxed PuUMoIr crystal (PBE, Alexandria).

abc: 4.664 4.664 4.664
angles: 60.00 60.00 60.00
Site moments in Bohr magnetons follow the coordinates.
Positions (direct):
U: 0.250 0.250 0.250  0.76
Mo: 0.000 0.000 0.000  -0.24
Pu: 0.500 0.500 0.500  4.19
Ir: 0.750 0.750 0.750  -0.16

Values from the calculation:
Its calculated density is 17828 kg/m³. The calculation puts the formation energy at -0.11 eV/atom. The total magnetic moment comes out at 4.557 μB/f.u. As for the crystal system: cubic. As for the space group: No. 216.

# Zr2TlBIr

A relaxed Zr2TlBIr crystal (PBE, Alexandria).

abc: 5.188 4.050 5.188
angles: 90.00 90.00 90.00
Positions (direct):
Zr: 0.000 0.000 0.500
Zr: 0.500 0.000 0.000
Tl: 0.500 0.500 0.500
Ir: 0.000 0.000 0.000
B: 0.000 0.500 0.000

Values from the calculation:
Its calculated density is 8985 kg/m³. The calculation puts the formation energy at 0.22 eV/atom. The total magnetic moment comes out at 0.000 μB/f.u. As for the crystal system: tetragonal. As for the space group: No. 123.

# ScTcPt

A relaxed ScTcPt crystal (PBE, Alexandria).

abc: 5.084 5.084 5.084
angles: 141.59 141.59 55.45
Positions (direct):
Sc: 0.333 0.333 0.000
Pt: 0.005 0.005 0.000
Tc: 0.662 0.662 0.000

Values from the calculation:
Its calculated density is 11148 kg/m³. The calculation puts the formation energy at -0.29 eV/atom. The excess energy over the best structure of this formula in the dataset comes out at 6.71 kcal/mol of atoms. The total magnetic moment comes out at 0.000 μB/f.u. As for the crystal system: tetragonal. As for the space group: No. 107.

| no. | V (A^3/atom) |
| --- | --- |
| 1 | 17.9 |
| 2 | 21.8 |
| 3 | 16.8 |